Ru2RhPb (PBE-GGA, optimized geometry); ΔE_f = 0.46 eV/atom; DOS(E_F) = 1.56 states/eV/atom; total energy = -6.939 eV per atom
1.0
3.9723 0.0000 0.0000
0.0000 4.0360 0.0000
0.0000 0.0000 4.0360
Pb Rh Ru
1 1 2
Direct
0.5000 0.5000 0.0000
0.5000 0.0000 0.5000
0.0000 0.0000 0.0000
0.0000 0.5000 0.5000

Ru2RhPb (PBE-GGA, optimized geometry); ΔE_f = 1.22 eV/atom; DOS(E_F) = 1.40 states/eV/atom; total energy = -6.178 eV per atom
1.0
5.8452 0.0000 0.0000
0.0000 5.8452 0.0000
2.9226 2.9226 5.7262
Pb Ru Rh
2 4 2
Direct
0.0000 0.0000 0.0000
0.7500 0.2500 0.5000
0.5778 0.1250 0.2500
0.1722 0.6250 0.2500
0.3750 0.4222 0.7500
0.8750 0.8278 0.7500
0.5000 0.5000 0.0000
0.2500 0.7500 0.5000

Ru2RhPb (PBE-GGA, optimized geometry); ΔE_f = 0.46 eV/atom; DOS(E_F) = 1.16 states/eV/atom; total energy = -6.940 eV per atom
1.0
3.3730 0.0000 0.0000
0.0000 3.3730 0.0000
0.0000 0.0000 5.8764
Pb Rh Ru
1 1 2
Direct
0.0000 0.0000 0.5102
0.5000 0.5000 0.7592
0.0000 0.0000 0.0193
0.5000 0.5000 0.2113

Ru2RhPb (PBE-GGA, optimized geometry); ΔE_f = 0.52 eV/atom; DOS(E_F) = 1.69 states/eV/atom; total energy = -6.885 eV per atom
1.0
-0.0206 -0.9502 9.1012
-1.7187 -3.2407 8.3833
1.2087 -3.5167 8.3611
Pb Rh Ru
1 1 2
Direct
0.4993 0.4993 0.4993
0.7441 0.7441 0.7441
0.9982 0.9982 0.9982
0.2584 0.2584 0.2584